# 1
## TeAsP2Cl (PBE-GGA)

Data for a geometry-optimized TeAsP2Cl structure.

```
5
Lattice="5.1671 0.0000 0.0000 0.0000 5.1671 0.0000 0.0000 0.0000 4.9603" Properties=species:S:1:pos:R:3 pbc="T T T"
Te 0.0000 0.0000 0.0000
As 2.5835 2.5835 2.4802
P 0.0000 2.5835 0.0000
P 2.5835 0.0000 0.0000
Cl 0.0000 0.0000 2.4802
```

## Properties
For the offset from the most stable computed form, the calculation gives 445 meV/atom. The calculation puts the uncorrected formation energy at 1094 meV per atom. The calculation puts the total magnetization at 0.000 μB/atom. The space-group type is No. 123.


# 2
## TeAsP2Cl (PBE-GGA)

Data for a geometry-optimized TeAsP2Cl structure.

```
5
Lattice="4.8992 0.0000 0.0000 0.0000 4.8992 0.0000 0.0000 0.0000 4.7164" Properties=species:S:1:pos:R:3 pbc="T T T"
Te 0.0000 0.0000 0.0000
As 2.4496 2.4496 2.3582
P 0.0000 2.4496 2.3582
P 2.4496 0.0000 2.3582
Cl 2.4496 2.4496 0.0000
```

## Properties
For the offset from the most stable computed form, the calculation gives 0 meV/atom. The calculation puts the uncorrected formation energy at 648 meV per atom. The calculation puts the total magnetization at 0.000 μB/atom. The space-group type is No. 123.


# 3
## TeAs2PCl (PBE-GGA)

Data for a geometry-optimized TeAs2PCl structure.

```
5
Lattice="5.4004 0.0000 0.0000 0.0000 5.4004 0.0000 0.0000 0.0000 4.9960" Properties=species:S:1:pos:R:3 pbc="T T T"
Te 0.0000 0.0000 0.0000
As 0.0000 2.7002 0.0000
As 2.7002 0.0000 0.0000
P 2.7002 2.7002 2.4980
Cl 0.0000 0.0000 2.4980
```

## Properties
The calculation puts the uncorrected formation energy at 1092 meV per atom. The calculation puts the total magnetization at 0.000 μB/atom. The space-group type is No. 123.


# 4
## TiAsPCl2 (PBE-GGA)

Data for a geometry-optimized TiAsPCl2 structure.

```
5
Lattice="4.8281 0.0000 0.0000 0.0000 4.8281 0.0000 0.0000 0.0000 4.9868" Properties=species:S:1:pos:R:3 pbc="T T T"
Ti 0.0000 0.0000 0.0000
As 2.4141 2.4141 2.4934
P 2.4141 2.4141 0.0000
Cl 0.0000 2.4141 2.4934
Cl 2.4141 0.0000 2.4934
```

## Properties
For the offset from the most stable computed form, the calculation gives 709 meV/atom. The calculation puts the uncorrected formation energy at 529 meV per atom. The calculation puts the total magnetization at 0.011 μB/atom. The space-group type is No. 123.


# 5
## TiAsPCl2 (PBE-GGA)

Data for a geometry-optimized TiAsPCl2 structure.

```
5
Lattice="4.5972 0.0000 0.0000 0.0000 4.5972 0.0000 0.0000 0.0000 5.2949" Properties=species:S:1:pos:R:3 pbc="T T T"
Ti 0.0000 0.0000 0.0000
As 2.2986 2.2986 2.6475
P 0.0000 0.0000 2.6475
Cl 0.0000 2.2986 0.0000
Cl 2.2986 0.0000 0.0000
```

## Properties
For the offset from the most stable computed form, the calculation gives 0 meV/atom. The calculation puts the uncorrected formation energy at -180 meV per atom. The calculation puts the total magnetization at 0.388 μB/atom. The space-group type is No. 123.


# 6
## TiAsP2Cl (PBE-GGA)

Data for a geometry-optimized TiAsP2Cl structure.

```
5
Lattice="4.8565 0.0000 0.0000 0.0000 4.8565 0.0000 0.0000 0.0000 4.4914" Properties=species:S:1:pos:R:3 pbc="T T T"
Ti 0.0000 0.0000 0.0000
As 2.4282 2.4282 2.2457
P 0.0000 2.4282 0.0000
P 2.4282 0.0000 0.0000
Cl 0.0000 0.0000 2.2457
```

## Properties
For the offset from the most stable computed form, the calculation gives 0 meV/atom. The calculation puts the uncorrected formation energy at 190 meV per atom. The calculation puts the total magnetization at 0.000 μB/atom. The space-group type is No. 123.